(1)
Crystalline AcPmIrPt at its relaxed geometry, computed with PBE-GGA.

a = 5.161 Å, b = 5.161 Å, c = 5.161 Å
α = 60.00°, β = 60.00°, γ = 60.00°
Positions (direct):
Ac: 0.000 0.000 0.000
Pm: 0.500 0.500 0.500
Ir: 0.750 0.750 0.750
Pt: 0.250 0.250 0.250

Crystal system: cubic
Formation enthalpy at 0 K, meV/atom: -779
SG: F-43m, No. 216
Relative energy among the computed polymorphs, meV/atom: 99

(2)
Crystalline Ac2Pm2Ir2Rh at its relaxed geometry, computed with PBE-GGA.

a = 7.347 Å, b = 7.347 Å, c = 8.253 Å
α = 118.83°, β = 118.83°, γ = 32.23°
Positions (direct):
Ac: 0.037 0.037 0.266
Ac: 0.963 0.963 0.734
Pm: 0.281 0.281 0.197
Pm: 0.719 0.719 0.803
Ir: 0.386 0.386 0.962
Ir: 0.614 0.614 0.038
Rh: 0.500 0.500 0.500

Crystal system: monoclinic
Formation enthalpy at 0 K, meV/atom: -582
SG: C2/m, No. 12

(3)
Crystalline Ac2PmIrRh at its relaxed geometry, computed with PBE-GGA.

a = 7.272 Å, b = 7.272 Å, c = 10.205 Å
α = 90.00°, β = 90.00°, γ = 146.22°
Positions (direct):
Ac: 0.141 0.859 0.565
Ac: 0.141 0.859 0.935
Ac: 0.859 0.141 0.065
Ac: 0.859 0.141 0.435
Pm: 0.404 0.596 0.750
Pm: 0.596 0.404 0.250
Ir: 0.500 0.500 0.000
Ir: 0.500 0.500 0.500
Rh: 0.238 0.762 0.250
Rh: 0.762 0.238 0.750

Crystal system: orthorhombic
Formation enthalpy at 0 K, meV/atom: -611
SG: Cmcm, No. 63

What is the formula in the second record?
Ac2Pm2Ir2Rh